Run 1
Density functional theory data (GGA-PBE) for Pa2InCu after structural relaxation.

## Properties
spin magnetization	0.00	μB/atom
Fermi-level density of states	6.3	states/eV/f.u.

Structure (CIF):
```
data_Pa2InCu
_cell_length_a 10.577
_cell_length_b 10.577
_cell_length_c 10.577
_cell_angle_alpha 17.11
_cell_angle_beta 17.11
_cell_angle_gamma 17.11
_symmetry_space_group_name_H-M 'P 1'
_symmetry_Int_Tables_number 1
_symmetry_space_group_name_Hall 'P 1'
loop_
_atom_site_label
_atom_site_fract_x
_atom_site_fract_y
_atom_site_fract_z
Pa1 0.242 0.242 0.242
Pa2 0.758 0.758 0.758
In1 0.000 0.000 0.000
Cu1 0.500 0.500 0.500
```


Run 2
Density functional theory data (GGA-PBE) for Pa2InCu after structural relaxation.

## Properties
spin magnetization	0.01	μB/atom
Fermi-level density of states	7.2	states/eV/f.u.

Structure (CIF):
```
data_Pa2InCu
_cell_length_a 3.114
_cell_length_b 3.114
_cell_length_c 9.075
_cell_angle_alpha 90.00
_cell_angle_beta 90.00
_cell_angle_gamma 90.00
_symmetry_space_group_name_H-M 'P 1'
_symmetry_Int_Tables_number 1
_symmetry_space_group_name_Hall 'P 1'
loop_
_atom_site_label
_atom_site_fract_x
_atom_site_fract_y
_atom_site_fract_z
Pa1 0.000 0.000 0.221
Pa2 0.000 0.000 0.779
In1 0.500 0.500 0.500
Cu1 0.500 0.500 0.000
```


Most stable to least stable: run 2, run 1


Run 1
Density functional theory data (GGA-PBE) for In2CuPb2 after structural relaxation.

## Properties
spin magnetization	0.00	μB/atom
Fermi-level density of states	1.8	states/eV/f.u.

Structure (CIF):
```
data_In2CuPb2
_cell_length_a 6.986
_cell_length_b 6.986
_cell_length_c 5.519
_cell_angle_alpha 90.00
_cell_angle_beta 90.00
_cell_angle_gamma 90.00
_symmetry_space_group_name_H-M 'P 1'
_symmetry_Int_Tables_number 1
_symmetry_space_group_name_Hall 'P 1'
loop_
_atom_site_label
_atom_site_fract_x
_atom_site_fract_y
_atom_site_fract_z
In1 0.153 0.347 0.000
In2 0.347 0.847 0.000
In3 0.653 0.153 0.000
In4 0.847 0.653 0.000
Cu1 0.000 0.000 0.000
Cu2 0.500 0.500 0.000
Pb1 0.171 0.671 0.500
Pb2 0.329 0.171 0.500
Pb3 0.671 0.829 0.500
Pb4 0.829 0.329 0.500
```


Run 2
Density functional theory data (GGA-PBE) for In2CuPb2 after structural relaxation.

## Properties
spin magnetization	0.00	μB/atom
Fermi-level density of states	4.0	states/eV/f.u.

Structure (CIF):
```
data_In2CuPb2
_cell_length_a 7.241
_cell_length_b 7.241
_cell_length_c 5.348
_cell_angle_alpha 90.00
_cell_angle_beta 90.00
_cell_angle_gamma 90.00
_symmetry_space_group_name_H-M 'P 1'
_symmetry_Int_Tables_number 1
_symmetry_space_group_name_Hall 'P 1'
loop_
_atom_site_label
_atom_site_fract_x
_atom_site_fract_y
_atom_site_fract_z
In1 0.161 0.339 0.000
In2 0.339 0.839 0.000
In3 0.661 0.161 0.000
In4 0.839 0.661 0.000
Cu1 0.000 0.000 0.500
Cu2 0.500 0.500 0.500
Pb1 0.158 0.658 0.500
Pb2 0.342 0.158 0.500
Pb3 0.658 0.842 0.500
Pb4 0.842 0.342 0.500
```


Most stable to least stable: run 1, run 2


Run 1
Density functional theory data (GGA-PBE) for InCuPbSe2 after structural relaxation.

## Properties
spin magnetization	0.00	μB/atom
Fermi-level density of states	2.6	states/eV/f.u.

Structure (CIF):
```
data_InCuPbSe2
_cell_length_a 4.974
_cell_length_b 4.974
_cell_length_c 5.233
_cell_angle_alpha 90.00
_cell_angle_beta 90.00
_cell_angle_gamma 90.00
_symmetry_space_group_name_H-M 'P 1'
_symmetry_Int_Tables_number 1
_symmetry_space_group_name_Hall 'P 1'
loop_
_atom_site_label
_atom_site_fract_x
_atom_site_fract_y
_atom_site_fract_z
In1 0.000 0.000 0.000
Cu1 0.500 0.500 0.500
Pb1 0.500 0.500 0.000
Se1 0.000 0.500 0.500
Se2 0.500 0.000 0.500
```


Run 2
Density functional theory data (GGA-PBE) for InCuPbSe2 after structural relaxation.

## Properties
spin magnetization	0.00	μB/atom
Fermi-level density of states	3.1	states/eV/f.u.

Structure (CIF):
```
data_InCuPbSe2
_cell_length_a 5.640
_cell_length_b 5.640
_cell_length_c 4.959
_cell_angle_alpha 90.00
_cell_angle_beta 90.00
_cell_angle_gamma 90.00
_symmetry_space_group_name_H-M 'P 1'
_symmetry_Int_Tables_number 1
_symmetry_space_group_name_Hall 'P 1'
loop_
_atom_site_label
_atom_site_fract_x
_atom_site_fract_y
_atom_site_fract_z
In1 0.000 0.000 0.000
Cu1 0.500 0.500 0.000
Pb1 0.500 0.500 0.500
Se1 0.000 0.500 0.500
Se2 0.500 0.000 0.500
```


Most stable to least stable: run 1, run 2


Run 1
Density functional theory data (GGA-PBE) for InCu2Pd2 after structural relaxation.

## Properties
spin magnetization	0.00	μB/atom
Fermi-level density of states	2.6	states/eV/f.u.

Structure (CIF):
```
data_InCu2Pd2
_cell_length_a 6.190
_cell_length_b 6.190
_cell_length_c 6.190
_cell_angle_alpha 143.35
_cell_angle_beta 143.35
_cell_angle_gamma 52.80
_symmetry_space_group_name_H-M 'P 1'
_symmetry_Int_Tables_number 1
_symmetry_space_group_name_Hall 'P 1'
loop_
_atom_site_label
_atom_site_fract_x
_atom_site_fract_y
_atom_site_fract_z
In1 0.000 0.000 0.000
Cu1 0.397 0.397 0.000
Cu2 0.603 0.603 0.000
Pd1 0.250 0.750 0.500
Pd2 0.750 0.250 0.500
```


Run 2
Density functional theory data (GGA-PBE) for InCu2Pd2 after structural relaxation.

## Properties
spin magnetization	0.00	μB/atom
Fermi-level density of states	1.9	states/eV/f.u.

Structure (CIF):
```
data_InCu2Pd2
_cell_length_a 7.117
_cell_length_b 7.117
_cell_length_c 7.117
_cell_angle_alpha 143.10
_cell_angle_beta 132.86
_cell_angle_gamma 61.33
_symmetry_space_group_name_H-M 'P 1'
_symmetry_Int_Tables_number 1
_symmetry_space_group_name_Hall 'P 1'
loop_
_atom_site_label
_atom_site_fract_x
_atom_site_fract_y
_atom_site_fract_z
In1 0.365 0.115 0.250
In2 0.635 0.885 0.750
Cu1 0.124 0.874 0.250
Cu2 0.245 0.495 0.750
Cu3 0.755 0.505 0.250
Cu4 0.876 0.126 0.750
Pd1 0.176 0.680 0.496
Pd2 0.316 0.320 0.996
Pd3 0.684 0.680 0.004
Pd4 0.824 0.320 0.504
```


Run 3
Density functional theory data (GGA-PBE) for InCu2Pd2 after structural relaxation.

## Properties
spin magnetization	0.00	μB/atom
Fermi-level density of states	2.0	states/eV/f.u.

Structure (CIF):
```
data_InCu2Pd2
_cell_length_a 7.305
_cell_length_b 7.305
_cell_length_c 7.305
_cell_angle_alpha 152.86
_cell_angle_beta 152.86
_cell_angle_gamma 38.76
_symmetry_space_group_name_H-M 'P 1'
_symmetry_Int_Tables_number 1
_symmetry_space_group_name_Hall 'P 1'
loop_
_atom_site_label
_atom_site_fract_x
_atom_site_fract_y
_atom_site_fract_z
In1 0.000 0.000 0.000
Cu1 0.250 0.750 0.500
Cu2 0.750 0.250 0.500
Pd1 0.396 0.396 0.000
Pd2 0.604 0.604 0.000
```


Most stable to least stable: run 2, run 3, run 1


Run 1
Density functional theory data (GGA-PBE) for InCu2Pd2 after structural relaxation.

## Properties
spin magnetization	0.00	μB/atom
Fermi-level density of states	1.9	states/eV/f.u.

Structure (CIF):
```
data_InCu2Pd2
_cell_length_a 7.065
_cell_length_b 7.065
_cell_length_c 3.106
_cell_angle_alpha 90.00
_cell_angle_beta 90.00
_cell_angle_gamma 90.00
_symmetry_space_group_name_H-M 'P 1'
_symmetry_Int_Tables_number 1
_symmetry_space_group_name_Hall 'P 1'
loop_
_atom_site_label
_atom_site_fract_x
_atom_site_fract_y
_atom_site_fract_z
In1 0.000 0.000 0.000
In2 0.500 0.500 0.000
Cu1 0.123 0.377 0.000
Cu2 0.377 0.877 0.000
Cu3 0.623 0.123 0.000
Cu4 0.877 0.623 0.000
Pd1 0.172 0.672 0.500
Pd2 0.328 0.172 0.500
Pd3 0.672 0.828 0.500
Pd4 0.828 0.328 0.500
```


Run 2
Density functional theory data (GGA-PBE) for InCu2Pd2 after structural relaxation.

## Properties
spin magnetization	0.00	μB/atom
Fermi-level density of states	2.0	states/eV/f.u.

Structure (CIF):
```
data_InCu2Pd2
_cell_length_a 7.154
_cell_length_b 7.154
_cell_length_c 3.115
_cell_angle_alpha 90.00
_cell_angle_beta 90.00
_cell_angle_gamma 90.00
_symmetry_space_group_name_H-M 'P 1'
_symmetry_Int_Tables_number 1
_symmetry_space_group_name_Hall 'P 1'
loop_
_atom_site_label
_atom_site_fract_x
_atom_site_fract_y
_atom_site_fract_z
In1 0.000 0.000 0.000
In2 0.500 0.500 0.000
Cu1 0.155 0.345 0.500
Cu2 0.345 0.845 0.500
Cu3 0.655 0.155 0.500
Cu4 0.845 0.655 0.500
Pd1 0.140 0.640 0.000
Pd2 0.360 0.140 0.000
Pd3 0.640 0.860 0.000
Pd4 0.860 0.360 0.000
```


Most stable to least stable: run 1, run 2


Run 1
Density functional theory data (GGA-PBE) for InCuPd4 after structural relaxation.

## Properties
spin magnetization	0.00	μB/atom
Fermi-level density of states	3.2	states/eV/f.u.

Structure (CIF):
```
data_InCuPd4
_cell_length_a 4.919
_cell_length_b 4.919
_cell_length_c 4.770
_cell_angle_alpha 97.72
_cell_angle_beta 97.72
_cell_angle_gamma 121.73
_symmetry_space_group_name_H-M 'P 1'
_symmetry_Int_Tables_number 1
_symmetry_space_group_name_Hall 'P 1'
loop_
_atom_site_label
_atom_site_fract_x
_atom_site_fract_y
_atom_site_fract_z
In1 0.000 0.000 0.000
Cu1 0.500 0.500 0.500
Pd1 0.166 0.834 0.500
Pd2 0.338 0.662 0.000
Pd3 0.662 0.338 0.000
Pd4 0.834 0.166 0.500
```


Run 2
Density functional theory data (GGA-PBE) for InCuPd4 after structural relaxation.

## Properties
spin magnetization	0.00	μB/atom
Fermi-level density of states	2.7	states/eV/f.u.

Structure (CIF):
```
data_InCuPd4
_cell_length_a 4.879
_cell_length_b 4.879
_cell_length_c 5.720
_cell_angle_alpha 106.84
_cell_angle_beta 106.84
_cell_angle_gamma 46.78
_symmetry_space_group_name_H-M 'P 1'
_symmetry_Int_Tables_number 1
_symmetry_space_group_name_Hall 'P 1'
loop_
_atom_site_label
_atom_site_fract_x
_atom_site_fract_y
_atom_site_fract_z
In1 0.000 0.000 0.000
Cu1 0.000 0.000 0.500
Pd1 0.333 0.333 0.660
Pd2 0.339 0.339 0.176
Pd3 0.661 0.661 0.824
Pd4 0.667 0.667 0.340
```


Most stable to least stable: run 2, run 1


Run 1
Density functional theory data (GGA-PBE) for InCuPd6 after structural relaxation.

## Properties
spin magnetization	0.00	μB/atom
Fermi-level density of states	12.8	states/eV/f.u.

Structure (CIF):
```
data_InCuPd6
_cell_length_a 3.980
_cell_length_b 3.980
_cell_length_c 7.887
_cell_angle_alpha 90.00
_cell_angle_beta 90.00
_cell_angle_gamma 90.00
_symmetry_space_group_name_H-M 'P 1'
_symmetry_Int_Tables_number 1
_symmetry_space_group_name_Hall 'P 1'
loop_
_atom_site_label
_atom_site_fract_x
_atom_site_fract_y
_atom_site_fract_z
In1 0.000 0.000 0.000
Cu1 0.000 0.000 0.500
Pd1 0.000 0.500 0.260
Pd2 0.000 0.500 0.740
Pd3 0.500 0.000 0.260
Pd4 0.500 0.000 0.740
Pd5 0.500 0.500 0.000
Pd6 0.500 0.500 0.500
```


Run 2
Density functional theory data (GGA-PBE) for InCuPd6 after structural relaxation.

## Properties
spin magnetization	0.00	μB/atom
Fermi-level density of states	8.3	states/eV/f.u.

Structure (CIF):
```
data_InCuPd6
_cell_length_a 5.070
_cell_length_b 5.099
_cell_length_c 5.100
_cell_angle_alpha 93.92
_cell_angle_beta 93.83
_cell_angle_gamma 93.73
_symmetry_space_group_name_H-M 'P 1'
_symmetry_Int_Tables_number 1
_symmetry_space_group_name_Hall 'P 1'
loop_
_atom_site_label
_atom_site_fract_x
_atom_site_fract_y
_atom_site_fract_z
In1 0.000 0.000 0.000
Cu1 0.500 0.500 0.500
Pd1 0.056 0.461 0.748
Pd2 0.252 0.941 0.541
Pd3 0.462 0.748 0.057
Pd4 0.538 0.252 0.943
Pd5 0.748 0.059 0.459
Pd6 0.944 0.539 0.252
```


Most stable to least stable: run 1, run 2


Run 1
Density functional theory data (GGA-PBE) for InCu2Pd5 after structural relaxation.

## Properties
spin magnetization	0.00	μB/atom
Fermi-level density of states	4.7	states/eV/f.u.

Structure (CIF):
```
data_InCu2Pd5
_cell_length_a 7.307
_cell_length_b 7.307
_cell_length_c 7.307
_cell_angle_alpha 125.53
_cell_angle_beta 125.53
_cell_angle_gamma 80.66
_symmetry_space_group_name_H-M 'P 1'
_symmetry_Int_Tables_number 1
_symmetry_space_group_name_Hall 'P 1'
loop_
_atom_site_label
_atom_site_fract_x
_atom_site_fract_y
_atom_site_fract_z
In1 0.250 0.250 0.000
In2 0.750 0.750 0.000
Cu1 0.140 0.640 0.780
Cu2 0.360 0.140 0.500
Cu3 0.640 0.860 0.500
Cu4 0.860 0.360 0.220
Pd1 0.000 0.000 0.000
Pd2 0.003 0.805 0.500
Pd3 0.195 0.695 0.198
Pd4 0.305 0.503 0.500
Pd5 0.497 0.997 0.802
Pd6 0.500 0.500 0.000
Pd7 0.503 0.003 0.198
Pd8 0.695 0.497 0.500
Pd9 0.805 0.305 0.802
Pd10 0.997 0.195 0.500
```


Run 2
Density functional theory data (GGA-PBE) for InCu2Pd5 after structural relaxation.

## Properties
spin magnetization	0.00	μB/atom
Fermi-level density of states	8.0	states/eV/f.u.

Structure (CIF):
```
data_InCu2Pd5
_cell_length_a 5.497
_cell_length_b 5.497
_cell_length_c 5.497
_cell_angle_alpha 117.20
_cell_angle_beta 117.20
_cell_angle_gamma 94.92
_symmetry_space_group_name_H-M 'P 1'
_symmetry_Int_Tables_number 1
_symmetry_space_group_name_Hall 'P 1'
loop_
_atom_site_label
_atom_site_fract_x
_atom_site_fract_y
_atom_site_fract_z
In1 0.000 0.000 0.000
Cu1 0.000 0.500 0.500
Cu2 0.500 0.000 0.500
Pd1 0.000 0.000 0.500
Pd2 0.000 0.500 0.000
Pd3 0.500 0.000 0.000
Pd4 0.500 0.500 0.000
Pd5 0.500 0.500 0.500
```


Most stable to least stable: run 2, run 1